LaNiBr4 (PBE-GGA, relaxed); total moment = 2.66 μB per formula unit; volume = 28.304 Å³/atom; raw formation energy = 0.1708 eV per atom
1.0
4.5418 3.7673 1.9537
-1.1848 4.3232 4.3062
2.2986 -0.6208 5.7418
La Ni Br
1 1 4
Cartesian
4.2416 5.6023 9.0013
0.0000 0.0000 0.0000
4.3945 4.6865 5.4766
3.2709 2.4885 7.3741
1.5260 4.9649 6.6550
2.1195 2.7994 4.4979



La2Ni2Br (PBE-GGA, relaxed); total moment = 0.00 μB per formula unit; volume = 26.095 Å³/atom; raw formation energy = -0.7380 eV per atom
1.0
3.8932 0.0000 -0.8919
-0.7326 6.6721 -3.1979
0.1804 0.5424 9.7307
La Ni Br
4 4 2
Cartesian
0.8726 6.0601 3.8056
1.2374 2.7241 5.4049
2.4685 1.1544 1.8353
2.1036 4.4905 0.2361
0.1978 6.6575 0.8738
2.7725 3.8931 3.1692
3.1432 0.5570 4.7671
0.5686 3.3215 2.4717
0.9609 5.0041 -2.7444
2.1998 1.6680 -1.3454



La5NiBr5 (PBE-GGA, relaxed); total moment = 0.00 μB per formula unit; volume = 30.528 Å³/atom; raw formation energy = -1.2964 eV per atom
1.0
-2.1680 -3.2422 4.6772
6.6020 -2.0587 -2.3317
0.9407 7.0474 5.3213
La Ni Br
5 1 5
Cartesian
2.6449 -3.0048 3.1078
3.5310 0.8261 6.1741
-1.0840 -1.6211 2.3386
1.8437 0.9204 1.4926
2.7298 4.7513 4.5589
0.0000 0.0000 0.0000
1.1430 -0.3344 4.2628
1.2999 2.9033 6.5799
0.4703 3.5237 2.6606
4.0747 -1.1568 1.0868
4.2317 2.0808 3.4039



It is found that the electronic total energy values, taken in the order of the records, are -16.4 -53.6 -53.0 eV/cell.